Entry 1:
Material: Al2Zn2Ag7
Method: DFT, PBE
State: relaxed

Calculated values
* energy of formation: -0.236 eV per formula unit
* energy above the lowest structure with this stoichiometry: 0.0 meV per atom
* crystal system: orthorhombic
* Fermi-level density of states: 0.210 states/eV per atom
* VASP energy: -0.101 hartree per atom

a = 4.431 Å, b = 7.228 Å, c = 7.228 Å
α = 60.17°, β = 72.15°, γ = 72.15°
Atoms (fractional coordinates):
1 Al 0.710 0.902 0.679
2 Al 0.290 0.321 0.098
3 Zn 0.000 0.627 0.373
4 Zn 0.500 0.329 0.671
5 Ag 0.843 0.067 0.247
6 Ag 0.862 0.455 0.821
7 Ag 0.500 0.960 0.040
8 Ag 0.639 0.493 0.230
9 Ag 0.361 0.770 0.507
10 Ag 0.157 0.753 0.933
11 Ag 0.138 0.179 0.545

Entry 2:
Material: Al2Zn8Ag
Method: DFT, PBE
State: relaxed

Calculated values
* energy of formation: 0.964 eV per formula unit
* crystal system: monoclinic
* Fermi-level density of states: 0.312 states/eV per atom
* VASP energy: -0.065 hartree per atom

a = 5.414 Å, b = 7.054 Å, c = 7.054 Å
α = 42.75°, β = 89.77°, γ = 89.77°
Atoms (fractional coordinates):
1 Al 0.596 0.740 0.740
2 Al 0.404 0.260 0.260
3 Zn 0.379 0.340 0.836
4 Zn 0.621 0.164 0.660
5 Zn 0.101 0.785 0.785
6 Zn 0.899 0.215 0.215
7 Zn 0.379 0.836 0.340
8 Zn 0.621 0.660 0.164
9 Zn 0.882 0.584 0.584
10 Zn 0.118 0.416 0.416
11 Ag 0.000 0.000 0.000

Entry 3:
Material: AlZnAg2
Method: DFT, PBE
State: relaxed

Calculated values
* energy of formation: 0.852 eV per formula unit
* crystal system: tetragonal
* Fermi-level density of states: 0.377 states/eV per atom
* VASP energy: -0.091 hartree per atom

a = 7.383 Å, b = 7.383 Å, c = 5.895 Å
α = 51.23°, β = 51.23°, γ = 90.00°
Atoms (fractional coordinates):
1 Zn 0.000 0.000 0.000
2 Zn 0.750 0.250 0.500
3 Al 0.500 0.500 0.000
4 Al 0.250 0.750 0.500
5 Ag 0.623 0.125 0.250
6 Ag 0.127 0.625 0.250
7 Ag 0.375 0.377 0.750
8 Ag 0.875 0.873 0.750

Entry 4:
Material: Al5ZnAg
Method: DFT, PBE
State: relaxed

Calculated values
* energy of formation: 3.150 eV per formula unit
* crystal system: orthorhombic
* Fermi-level density of states: 0.281 states/eV per atom
* VASP energy: -0.103 hartree per atom

a = 4.648 Å, b = 8.260 Å, c = 6.388 Å
α = 130.28°, β = 111.33°, γ = 90.00°
Atoms (fractional coordinates):
1 Al 0.483 0.224 0.448
2 Al 0.039 0.500 0.000
3 Al 0.035 0.776 0.552
4 Al 0.319 0.789 0.000
5 Al 0.319 0.211 0.000
6 Zn 0.539 0.500 0.000
7 Ag 0.797 0.000 0.000

Entry 5:
Material: Al4Zn5Ag
Method: DFT, PBE
State: relaxed

Calculated values
* energy of formation: 0.139 eV per formula unit
* energy above the lowest structure with this stoichiometry: 0.0 meV per atom
* crystal system: monoclinic
* Fermi-level density of states: 0.295 states/eV per atom
* VASP energy: -0.088 hartree per atom

a = 2.866 Å, b = 7.910 Å, c = 7.429 Å
α = 104.04°, β = 101.12°, γ = 90.00°
Atoms (fractional coordinates):
1 Al 0.700 0.101 0.400
2 Al 0.098 0.306 0.197
3 Al 0.300 0.899 0.600
4 Al 0.902 0.694 0.803
5 Zn 0.299 0.401 0.599
6 Zn 0.101 0.794 0.202
7 Zn 0.899 0.206 0.798
8 Zn 0.500 0.500 0.000
9 Zn 0.701 0.599 0.401
10 Ag 0.500 0.000 0.000

Entry 6:
Material: Al6Zn2Ag
Method: DFT, PBE
State: relaxed

Calculated values
* energy of formation: 0.634 eV per formula unit
* energy above the lowest structure with this stoichiometry: 0.0 meV per atom
* crystal system: monoclinic
* Fermi-level density of states: 0.225 states/eV per atom
* VASP energy: -0.111 hartree per atom

a = 5.604 Å, b = 7.480 Å, c = 7.480 Å
α = 94.62°, β = 96.94°, γ = 96.94°
Atoms (fractional coordinates):
1 Al 0.502 0.315 0.747
2 Al 0.998 0.253 0.685
3 Al 0.498 0.685 0.253
4 Al 0.002 0.747 0.315
5 Al 0.720 0.912 0.587
6 Al 0.780 0.413 0.088
7 Al 0.280 0.088 0.413
8 Al 0.220 0.587 0.912
9 Al 0.251 0.277 0.068
10 Al 0.249 0.932 0.723
11 Al 0.749 0.723 0.932
12 Al 0.751 0.068 0.277
13 Zn 0.086 0.398 0.374
14 Zn 0.414 0.626 0.602
15 Zn 0.914 0.602 0.626
16 Zn 0.586 0.374 0.398
17 Ag 0.250 0.925 0.075
18 Ag 0.750 0.075 0.925

Entry 7:
Material: Al5Zn2Ag5
Method: DFT, PBE
State: relaxed

Calculated values
* energy of formation: -0.029 eV per formula unit
* crystal system: monoclinic
* Fermi-level density of states: 0.212 states/eV per atom
* VASP energy: -0.109 hartree per atom

a = 3.022 Å, b = 7.537 Å, c = 9.493 Å
α = 72.01°, β = 80.84°, γ = 78.44°
Atoms (fractional coordinates):
1 Al 0.836 0.830 0.497
2 Al 0.204 0.852 0.740
3 Al 0.796 0.148 0.260
4 Al 0.164 0.170 0.503
5 Al 0.000 0.000 0.000
6 Zn 0.866 0.519 0.749
7 Zn 0.134 0.481 0.251
8 Ag 0.500 0.500 0.500
9 Ag 0.333 0.323 0.011
10 Ag 0.467 0.821 0.244
11 Ag 0.533 0.179 0.756
12 Ag 0.667 0.677 0.989

Entry 8:
Material: AlZnAg
Method: DFT, PBE
State: relaxed

Calculated values
* energy of formation: 0.210 eV per formula unit
* energy above the lowest structure with this stoichiometry: 103.4 meV per atom
* crystal system: orthorhombic
* Fermi-level density of states: 0.403 states/eV per atom
* VASP energy: -0.094 hartree per atom

a = 7.073 Å, b = 6.836 Å, c = 2.860 Å
α = 82.83°, β = 73.52°, γ = 23.65°
Atoms (fractional coordinates):
1 Zn 0.331 0.331 0.669
2 Al 0.669 0.669 0.331
3 Ag 0.000 0.000 0.000

Entry 9:
Material: AlZn12Ag4
Method: DFT, PBE
State: relaxed

Calculated values
* energy of formation: 6.150 eV per formula unit
* crystal system: cubic
* Fermi-level density of states: 0.398 states/eV per atom
* VASP energy: -0.052 hartree per atom

a = 8.685 Å, b = 8.685 Å, c = 8.685 Å
α = 109.47°, β = 109.47°, γ = 109.47°
Atoms (fractional coordinates):
1 Al 0.000 0.000 0.000
2 Zn 0.196 0.197 0.392
3 Zn 0.803 0.608 0.804
4 Zn 0.999 0.196 0.803
5 Zn 0.803 0.999 0.196
6 Zn 0.001 0.804 0.197
7 Zn 0.197 0.392 0.196
8 Zn 0.392 0.196 0.197
9 Zn 0.608 0.804 0.803
10 Zn 0.197 0.001 0.804
11 Zn 0.196 0.803 0.999
12 Zn 0.804 0.197 0.001
13 Zn 0.804 0.803 0.608
14 Ag 0.500 0.000 0.000
15 Ag 0.000 0.500 0.000
16 Ag 0.000 0.000 0.500
17 Ag 0.500 0.500 0.500

Entry 10:
Material: Al2ZnAg4
Method: DFT, PBE
State: relaxed

Calculated values
* energy of formation: 0.017 eV per formula unit
* energy above the lowest structure with this stoichiometry: 0.0 meV per atom
* crystal system: trigonal
* Fermi-level density of states: 0.137 states/eV per atom
* VASP energy: -0.106 hartree per atom

a = 4.460 Å, b = 4.460 Å, c = 7.637 Å
α = 73.02°, β = 73.02°, γ = 60.00°
Atoms (fractional coordinates):
1 Al 0.750 0.750 0.751
2 Al 0.250 0.250 0.249
3 Zn 0.000 0.000 0.000
4 Ag 0.872 0.872 0.385
5 Ag 0.128 0.128 0.615
6 Ag 0.620 0.620 0.140
7 Ag 0.380 0.380 0.860

Entry 11:
Material: AlZnAg5
Method: DFT, PBE
State: relaxed

Calculated values
* energy of formation: 0.089 eV per formula unit
* energy above the lowest structure with this stoichiometry: 16.8 meV per atom
* crystal system: monoclinic
* Fermi-level density of states: 0.362 states/eV per atom
* VASP energy: -0.101 hartree per atom

a = 7.044 Å, b = 7.044 Å, c = 5.132 Å
α = 78.96°, β = 78.96°, γ = 90.20°
Atoms (fractional coordinates):
1 Al 0.435 0.565 0.250
2 Al 0.565 0.435 0.750
3 Zn 0.000 0.000 0.000
4 Zn 0.000 0.000 0.500
5 Ag 0.668 0.816 0.396
6 Ag 0.952 0.339 0.691
7 Ag 0.816 0.668 0.896
8 Ag 0.720 0.280 0.250
9 Ag 0.661 0.048 0.809
10 Ag 0.339 0.952 0.191
11 Ag 0.280 0.720 0.750
12 Ag 0.184 0.332 0.104
13 Ag 0.048 0.661 0.309
14 Ag 0.332 0.184 0.604

Entry 12:
Material: AlZnAg
Method: DFT, PBE
State: relaxed

Calculated values
* energy of formation: 0.032 eV per formula unit
* energy above the lowest structure with this stoichiometry: 43.9 meV per atom
* crystal system: tetragonal
* Fermi-level density of states: 0.420 states/eV per atom
* VASP energy: -0.096 hartree per atom

a = 6.342 Å, b = 6.342 Å, c = 6.342 Å
α = 153.92°, β = 153.92°, γ = 37.21°
Atoms (fractional coordinates):
1 Zn 0.671 0.671 0.000
2 Al 0.330 0.330 0.000
3 Ag 0.999 0.999 0.000